Entry 1:
The following is a DFT calculation (PBE-GGA) of crystalline LiTe2RuN at its relaxed geometry.

```
LiTe2RuN
1.0
5.0163 0.0000 0.0000
0.0000 5.0163 0.0000
0.0000 0.0000 3.3376
Li Te Ru N
1 2 1 1
direct
0.0000 0.0000 0.0000
0.0000 0.5000 0.0000
0.5000 0.0000 0.0000
0.5000 0.5000 0.5000
0.0000 0.0000 0.5000
```

Values from the calculation:
**M_tot**: 0.000 μB/atom
**Symmetry**: P4/mmm
**Energy**: -20.6 eV for the cell shown
**Offset from the most stable computed form**: 987 meV per atom

Entry 2:
The following is a DFT calculation (PBE-GGA) of crystalline Li2TlRuN at its relaxed geometry.

```
Li2TlRuN
1.0
4.2535 0.0000 0.0000
0.0000 4.2535 0.0000
0.0000 0.0000 3.8313
Li Tl Ru N
2 1 1 1
direct
0.0000 0.5000 0.0000
0.5000 0.0000 0.0000
0.0000 0.0000 0.5000
0.5000 0.5000 0.5000
0.5000 0.5000 0.0000
```

Values from the calculation:
**M_tot**: 0.000 μB/atom
**Symmetry**: P4/mmm
**Energy**: -24.8 eV for the cell shown

Entry 3:
The following is a DFT calculation (PBE-GGA) of crystalline LiVRuN2 at its relaxed geometry.

```
LiVRuN2
1.0
3.6981 0.0000 0.0000
0.0000 3.6981 0.0000
0.0000 0.0000 3.7470
Li V Ru N
1 1 1 2
direct
0.0000 0.0000 0.0000
0.5000 0.5000 0.5000
0.0000 0.0000 0.5000
0.0000 0.5000 0.0000
0.5000 0.0000 0.0000
```

Values from the calculation:
**M_tot**: 0.001 μB/atom
**Symmetry**: P4/mmm
**Energy**: -28.7 eV for the cell shown

Entry 4:
The following is a DFT calculation (PBE-GGA) of crystalline LiY2RuN at its relaxed geometry.

```
LiY2RuN
1.0
4.9136 0.0000 0.0000
0.0000 4.9136 0.0000
0.0000 0.0000 3.8872
Li Y Ru N
1 2 1 1
direct
0.0000 0.0000 0.0000
0.0000 0.5000 0.5000
0.5000 0.0000 0.5000
0.5000 0.5000 0.0000
0.5000 0.5000 0.5000
```

Values from the calculation:
**M_tot**: 0.000 μB/atom
**Symmetry**: P4/mmm
**Energy**: -35.4 eV for the cell shown
**Offset from the most stable computed form**: 0 meV per atom

Entry 5:
The following is a DFT calculation (PBE-GGA) of crystalline LiY2RuN at its relaxed geometry.

```
LiY2RuN
1.0
4.7800 0.0000 0.0000
0.0000 4.7800 0.0000
0.0000 0.0000 3.8160
Li Y Ru N
1 2 1 1
direct
0.0000 0.0000 0.0000
0.0000 0.5000 0.5000
0.5000 0.0000 0.5000
0.5000 0.5000 0.0000
0.0000 0.0000 0.5000
```

Values from the calculation:
**M_tot**: 0.000 μB/atom
**Symmetry**: P4/mmm
**Energy**: -35.2 eV for the cell shown
**Offset from the most stable computed form**: 41 meV per atom

Entry 6:
The following is a DFT calculation (PBE-GGA) of crystalline Li2ZnRuN at its relaxed geometry.

```
Li2ZnRuN
1.0
3.9803 0.0000 0.0000
0.0000 3.9803 0.0000
0.0000 0.0000 3.8416
Li Zn Ru N
2 1 1 1
direct
0.0000 0.5000 0.0000
0.5000 0.0000 0.0000
0.0000 0.0000 0.5000
0.5000 0.5000 0.5000
0.5000 0.5000 0.0000
```

Values from the calculation:
**M_tot**: 0.032 μB/atom
**Symmetry**: P4/mmm
**Energy**: -23.8 eV for the cell shown

Entry 7:
The following is a DFT calculation (PBE-GGA) of crystalline LiS2N2 at its relaxed geometry.

```
LiS2N2
1.0
4.4283 0.0000 0.0000
0.0000 4.4283 0.0000
0.0000 0.0000 3.5507
Li S N
1 2 2
direct
0.0000 0.0000 0.0000
0.0000 0.5000 0.0000
0.5000 0.0000 0.0000
0.0000 0.0000 0.5000
0.5000 0.5000 0.5000
```

Values from the calculation:
**M_tot**: 0.377 μB/atom
**Symmetry**: P4/mmm
**Energy**: -15.7 eV for the cell shown
**Offset from the most stable computed form**: 1132 meV per atom

Entry 8:
The following is a DFT calculation (PBE-GGA) of crystalline Li5SN at its relaxed geometry.

```
Li5SN
1.0
-3.6745 3.7708 3.6981
3.6745 -3.7708 3.6981
3.6745 3.7708 -3.6981
Li S N
10 2 2
direct
0.2425 0.0000 0.7425
0.2425 0.5000 0.2425
0.2484 0.3059 0.5575
0.2484 0.6909 0.9425
0.4229 0.1729 0.2500
0.5771 0.8271 0.7500
0.7516 0.3091 0.0575
0.7516 0.6941 0.4425
0.7575 0.0000 0.2575
0.7575 0.5000 0.7575
0.0208 0.7708 0.2500
0.9792 0.2292 0.7500
0.5000 0.0000 0.0000
0.5000 0.5000 0.5000
```

Values from the calculation:
**M_tot**: 0.000 μB/atom
**Symmetry**: Imma
**Energy**: -53.4 eV for the cell shown

Entry 9:
The following is a DFT calculation (PBE-GGA) of crystalline LiSN2 at its relaxed geometry.

```
LiSN2
1.0
2.8156 0.0000 0.0000
-1.4078 2.4384 0.0000
0.0000 0.0000 17.4925
Li S N
3 3 6
direct
0.0000 0.0000 0.0000
0.3333 0.6667 0.6667
0.6667 0.3333 0.3333
0.0000 0.0000 0.5000
0.3333 0.6667 0.1667
0.6667 0.3333 0.8333
0.0000 0.0000 0.1079
0.0000 0.0000 0.8921
0.3333 0.6667 0.5588
0.3333 0.6667 0.7745
0.6667 0.3333 0.2255
0.6667 0.3333 0.4412
```

Values from the calculation:
**M_tot**: 0.000 μB/atom
**Symmetry**: R-3m
**Energy**: -58.3 eV for the cell shown

Entry 10:
The following is a DFT calculation (PBE-GGA) of crystalline LiSN2 at its relaxed geometry.

```
LiSN2
1.0
4.5012 0.0000 0.0000
0.0000 4.5012 0.0000
0.0000 0.0000 8.4408
Li S N
4 4 8
direct
0.0000 0.0000 0.0000
0.0000 0.5000 0.2500
0.5000 0.0000 0.7500
0.5000 0.5000 0.5000
0.0000 0.0000 0.5000
0.0000 0.5000 0.7500
0.5000 0.0000 0.2500
0.5000 0.5000 0.0000
0.1803 0.2500 0.6250
0.2500 0.6803 0.8750
0.2500 0.8197 0.3750
0.3197 0.2500 0.1250
0.6803 0.7500 0.1250
0.7500 0.1803 0.3750
0.7500 0.3197 0.8750
0.8197 0.7500 0.6250
```

Values from the calculation:
**M_tot**: 0.000 μB/atom
**Symmetry**: I-42d
**Energy**: -81.6 eV for the cell shown

Entry 11:
The following is a DFT calculation (PBE-GGA) of crystalline LiS2N2 at its relaxed geometry.

```
LiS2N2
1.0
3.4570 0.0000 0.0000
0.0000 3.4570 0.0000
0.0000 0.0000 7.1701
Li S N
1 2 2
direct
0.0000 0.0000 0.0000
0.0000 0.0000 0.5000
0.5000 0.5000 0.5000
0.0000 0.5000 0.0000
0.5000 0.0000 0.0000
```

Values from the calculation:
**M_tot**: 0.424 μB/atom
**Symmetry**: P4/mmm
**Energy**: -17.6 eV for the cell shown
**Offset from the most stable computed form**: 756 meV per atom

Entry 12:
The following is a DFT calculation (PBE-GGA) of crystalline LiS2N2 at its relaxed geometry.

```
LiS2N2
1.0
4.1217 0.0000 0.0000
0.0000 4.1217 0.0000
0.0000 0.0000 3.5429
Li S N
1 2 2
direct
0.0000 0.0000 0.0000
0.0000 0.5000 0.5000
0.5000 0.0000 0.5000
0.5000 0.5000 0.0000
0.5000 0.5000 0.5000
```

Values from the calculation:
**M_tot**: 0.045 μB/atom
**Symmetry**: P4/mmm
**Energy**: -19.8 eV for the cell shown
**Offset from the most stable computed form**: 307 meV per atom